No. 1
Material: Y2SbS
Method: DFT, PBE-GGA
State: optimized geometry

The calculation puts the density of states at the Fermi level at 0.626 states/eV per atom. The mass density comes out at 5.26 g/cm³. As for the excess energy over the best structure of this formula in the dataset: 0.148 eV per atom. The value obtained for the total magnetization is 0.43 μB per formula unit.

It has space group R3m (No. 160, hexagonal axes), with a = 4.0609 Å, b = 4.0609 Å, c = 22.0125 Å, α = 90.00°, β = 90.00° and γ = 120.00°. The asymmetric unit holds Y at (0.0000, 0.0000, 0.0000), Y at (0.0000, 0.0000, 0.1617), Sb at (0.0000, 0.0000, 0.5800) and S at (0.0000, 0.0000, 0.7498).

No. 2
Material: Y2SbS2
Method: DFT, PBE-GGA
State: optimized geometry

The calculation puts the density of states at the Fermi level at 0.474 states/eV per atom. The mass density comes out at 4.88 g/cm³. As for the excess energy over the best structure of this formula in the dataset: 0.025 eV per atom. The value obtained for the total magnetization is 0.00 μB per formula unit.

It has space group I4/mmm (No. 139), with a = 5.255 Å, b = 5.255 Å, c = 8.964 Å, α = 90.00°, β = 90.00° and γ = 90.00°. The asymmetric unit holds Y at (0.000, 0.500, 0.250), Sb at (0.000, 0.000, 0.000) and S at (0.000, 0.000, 0.329).

No. 3
Material: Y4Sb3S
Method: DFT, PBE-GGA
State: optimized geometry

The calculation puts the density of states at the Fermi level at 0.210 states/eV per atom. The mass density comes out at 5.61 g/cm³. The final energy comes out at -0.2438 Ha/atom. The value obtained for the total magnetization is 0.00 μB per formula unit.

It has space group Cmmm (No. 65), with a = 8.583 Å, b = 12.116 Å, c = 4.288 Å, α = 90.00°, β = 90.00° and γ = 90.00°. The asymmetric unit holds Y at (0.000, 0.243, 0.000), Y at (0.239, 0.000, 0.500), Sb at (0.000, 0.500, 0.000), Sb at (0.250, 0.250, 0.500) and S at (0.000, 0.000, 0.000).